Entry from Alexandria: a relaxed Sb2TePdF crystal (PBE-GGA).

a b c (Å): 5.1879 5.1879 5.2997
angles (deg): 90.00 90.00 90.00
Space group P4/mmm (No. 123)
Inequivalent atoms, fractional coordinates:
Sb1 0.0000 0.5000 0.0000
Te1 0.0000 0.0000 0.5000
Pd1 0.0000 0.0000 0.0000
F1 0.5000 0.5000 0.5000

Summary:
Its energy relative to the lowest polymorph listed for this composition is 4.0 kJ/mol of atoms. The value obtained for the uncorrected formation energy is 0.111 eV/atom.